Compound: AsIr3
Source: Alexandria via LeMat-Bulk
Functional: meta-GGA SCAN
Structure: single point on PBEsol structure Values from VASP.

```
&SYSTEM
  ibrav = 0, nat = 4, ntyp = 2
/
ATOMIC_SPECIES
Ir 192.22 Ir.upf
As 74.92 As.upf
CELL_PARAMETERS angstrom
-2.695 0.014 0.754
-1.039 -2.109 1.519
0.767 3.439 7.878
ATOMIC_POSITIONS crystal
Ir 0.747 0.747 0.759
Ir 0.500 0.500 0.500
Ir 0.253 0.253 0.241
As 0.000 0.000 0.000
```

Output
The formation energy is 0.191 eV per atom. The crystal system is trigonal. For the energy above the lowest structure with this stoichiometry, the calculation gives 0.11 eV/f.u. The space group is R-3m.


Compound: MnAlCo2H
Source: Alexandria via LeMat-Bulk
Functional: meta-GGA SCAN
Structure: single point on PBEsol structure Values from VASP.

```
&SYSTEM
  ibrav = 0, nat = 5, ntyp = 4
/
ATOMIC_SPECIES
Co 58.93 Co.upf
H 1.01 H.upf
Mn 54.94 Mn.upf
Al 26.98 Al.upf
CELL_PARAMETERS angstrom
-3.547 -1.531 1.112
1.667 -1.413 3.374
-1.019 3.920 2.146
ATOMIC_POSITIONS crystal
Co 0.000 0.500 0.000
Co 0.500 0.000 0.000
H 0.500 0.500 0.500
Mn 0.000 0.000 0.000
Al 0.000 0.000 0.500
```

Output
The crystal system is tetragonal. The space group is P4/mmm.


Compound: PPb2Se
Source: Alexandria via LeMat-Bulk
Functional: meta-GGA SCAN
Structure: single point on PBEsol structure Values from VASP.

```
&SYSTEM
  ibrav = 0, nat = 4, ntyp = 3
/
ATOMIC_SPECIES
P 30.97 P.upf
Pb 207.20 Pb.upf
Se 78.96 Se.upf
CELL_PARAMETERS angstrom
-3.034 -1.934 3.533
-1.417 -4.907 -0.304
1.879 -3.352 3.377
ATOMIC_POSITIONS crystal
P 0.000 0.500 0.500
Pb 0.749 0.251 0.251
Pb 0.251 0.749 0.749
Se 0.500 0.000 0.000
```

Output
The uncorrected formation energy is 0.69 eV/f.u. The crystal system is orthorhombic. For the energy above the lowest structure with this stoichiometry, the calculation gives 1.15 eV/f.u. The space group is Immm.


Compound: AgAs2Pt
Source: Alexandria via LeMat-Bulk
Functional: meta-GGA SCAN
Structure: single point on PBEsol structure Values from VASP.

```
&SYSTEM
  ibrav = 0, nat = 4, ntyp = 3
/
ATOMIC_SPECIES
Ag 107.87 Ag.upf
As 74.92 As.upf
Pt 195.08 Pt.upf
CELL_PARAMETERS angstrom
-0.199 -0.589 -3.625
2.293 -2.386 -1.604
-3.469 -5.660 -0.756
ATOMIC_POSITIONS crystal
Ag 0.000 0.000 0.000
As 0.239 0.239 0.284
As 0.761 0.761 0.716
Pt 0.500 0.500 0.500
```

Output
The formation energy is -0.130 eV per atom. The crystal system is trigonal. For the energy above the lowest structure with this stoichiometry, the calculation gives 0.00 eV/f.u. The space group is R-3m.


Compound: Mg2ReSi
Source: Alexandria via LeMat-Bulk
Functional: meta-GGA SCAN
Structure: single point on PBEsol structure Values from VASP.

```
&SYSTEM
  ibrav = 0, nat = 4, ntyp = 3
/
ATOMIC_SPECIES
Si 28.09 Si.upf
Mg 24.30 Mg.upf
Re 186.21 Re.upf
CELL_PARAMETERS angstrom
-1.627 0.415 -2.225
-3.850 -0.600 2.703
1.337 4.810 -0.081
ATOMIC_POSITIONS crystal
Si 0.000 0.500 0.500
Mg 0.000 0.000 0.000
Mg 0.500 0.500 0.000
Re 0.500 0.000 0.500
```

Output
The uncorrected formation energy is 1.36 eV/f.u. The crystal system is monoclinic. The space group is P2/m.


Compound: NaBe3Pd
Source: Alexandria via LeMat-Bulk
Functional: meta-GGA SCAN
Structure: single point on PBEsol structure Values from VASP.

```
&SYSTEM
  ibrav = 0, nat = 5, ntyp = 3
/
ATOMIC_SPECIES
Be 9.01 Be.upf
Pd 106.42 Pd.upf
Na 22.99 Na.upf
CELL_PARAMETERS angstrom
-0.825 -4.002 -0.120
3.800 -0.821 1.265
-1.262 0.144 3.886
ATOMIC_POSITIONS crystal
Be 0.500 0.000 0.000
Be 0.000 0.000 0.500
Be 0.000 0.500 0.000
Pd 0.500 0.500 0.500
Na 0.000 0.000 0.000
```

Output
The formation energy is 1.697 eV per atom. The crystal system is cubic. The space group is Pm-3m.


Compound: BaPS2I
Source: Alexandria via LeMat-Bulk
Functional: meta-GGA SCAN
Structure: single point on PBEsol structure Values from VASP.

```
&SYSTEM
  ibrav = 0, nat = 5, ntyp = 4
/
ATOMIC_SPECIES
I 126.90 I.upf
P 30.97 P.upf
S 32.06 S.upf
Ba 137.33 Ba.upf
CELL_PARAMETERS angstrom
-5.060 0.021 -0.364
0.341 -1.829 -4.846
-0.151 -4.858 1.822
ATOMIC_POSITIONS crystal
I 0.000 0.000 0.000
P 0.500 0.000 0.000
S 0.000 0.000 0.500
S 0.000 0.500 0.000
Ba 0.500 0.500 0.500
```

Output
The uncorrected formation energy is -0.90 eV/f.u. The crystal system is tetragonal. The space group is P4/mmm.


Compound: AlInS2
Source: Alexandria via LeMat-Bulk
Functional: meta-GGA SCAN
Structure: single point on PBEsol structure Values from VASP.

```
&SYSTEM
  ibrav = 0, nat = 4, ntyp = 3
/
ATOMIC_SPECIES
Al 26.98 Al.upf
S 32.06 S.upf
In 114.82 In.upf
CELL_PARAMETERS angstrom
-2.616 2.212 0.024
-3.198 -1.134 0.477
-1.092 1.275 8.015
ATOMIC_POSITIONS crystal
Al 0.500 0.500 0.500
S 0.112 0.112 0.665
S 0.888 0.888 0.335
In 0.000 0.000 0.000
```

Output
The uncorrected formation energy is -3.37 eV/f.u. The crystal system is trigonal. The space group is R-3m.


Compound: Rb3PbCl
Source: Alexandria via LeMat-Bulk
Functional: meta-GGA SCAN
Structure: single point on PBEsol structure Values from VASP.

```
&SYSTEM
  ibrav = 0, nat = 5, ntyp = 3
/
ATOMIC_SPECIES
Pb 207.20 Pb.upf
Rb 85.47 Rb.upf
Cl 35.45 Cl.upf
CELL_PARAMETERS angstrom
-0.518 2.128 -5.790
5.536 -2.403 -1.378
-2.721 -5.293 -1.702
ATOMIC_POSITIONS crystal
Pb 0.500 0.500 0.500
Rb 0.000 0.500 0.000
Rb 0.000 0.000 0.500
Rb 0.500 0.000 0.000
Cl 0.000 0.000 0.000
```

Output
The uncorrected formation energy is -4.15 eV/f.u. The crystal system is cubic. For the energy above the lowest structure with this stoichiometry, the calculation gives 0.00 eV/f.u. The space group is Pm-3m.


Compound: CuSe2Cl
Source: Alexandria via LeMat-Bulk
Functional: meta-GGA SCAN
Structure: single point on PBEsol structure Values from VASP.

```
&SYSTEM
  ibrav = 0, nat = 8, ntyp = 3
/
ATOMIC_SPECIES
Se 78.96 Se.upf
Cu 63.55 Cu.upf
Cl 35.45 Cl.upf
CELL_PARAMETERS angstrom
4.172 0.000 0.000
0.000 4.172 0.000
-2.086 -2.086 9.557
ATOMIC_POSITIONS crystal
Se 0.125 0.020 0.750
Se 0.980 0.375 0.250
Se 0.270 0.875 0.250
Se 0.625 0.730 0.750
Cu 0.000 0.000 0.000
Cu 0.250 0.750 0.500
Cl 0.750 0.250 0.500
Cl 0.500 0.500 0.000
```

Output
The uncorrected formation energy is 0.72 eV/f.u. The crystal system is tetragonal. For the energy above the lowest structure with this stoichiometry, the calculation gives 2.05 eV/f.u. The space group is I-42d.


Compound: Cs2AlReBi
Source: Alexandria via LeMat-Bulk
Functional: meta-GGA SCAN
Structure: single point on PBEsol structure Values from VASP.

```
&SYSTEM
  ibrav = 0, nat = 5, ntyp = 4
/
ATOMIC_SPECIES
Re 186.21 Re.upf
Cs 132.91 Cs.upf
Bi 208.98 Bi.upf
Al 26.98 Al.upf
CELL_PARAMETERS angstrom
5.259 0.000 0.000
0.000 5.945 0.000
0.000 0.000 5.945
ATOMIC_POSITIONS crystal
Re 0.000 0.000 0.000
Cs 0.000 0.500 0.000
Cs 0.000 0.000 0.500
Bi 0.500 0.000 0.000
Al 0.500 0.500 0.500
```

Output
The formation energy is 1.318 eV per atom. The crystal system is tetragonal. The space group is P4/mmm.


Compound: Na2MgZnSe
Source: Alexandria via LeMat-Bulk
Functional: meta-GGA SCAN
Structure: single point on PBEsol structure Values from VASP.

```
&SYSTEM
  ibrav = 0, nat = 5, ntyp = 4
/
ATOMIC_SPECIES
Se 78.96 Se.upf
Na 22.99 Na.upf
Zn 65.41 Zn.upf
Mg 24.30 Mg.upf
CELL_PARAMETERS angstrom
5.171 0.000 0.000
0.000 5.404 0.000
0.000 0.000 5.404
ATOMIC_POSITIONS crystal
Se 0.000 0.000 0.000
Na 0.000 0.000 0.500
Na 0.000 0.500 0.000
Zn 0.500 0.500 0.500
Mg 0.500 0.000 0.000
```

Output
The uncorrected formation energy is -1.31 eV/f.u. The crystal system is tetragonal. The space group is P4/mmm.


Compound: SrTlW
Source: Alexandria via LeMat-Bulk
Functional: meta-GGA SCAN
Structure: single point on PBEsol structure Values from VASP.

```
&SYSTEM
  ibrav = 0, nat = 3, ntyp = 3
/
ATOMIC_SPECIES
Tl 204.38 Tl.upf
W 183.84 W.upf
Sr 87.62 Sr.upf
CELL_PARAMETERS angstrom
3.000 0.000 0.000
0.000 3.000 0.000
-1.500 -1.500 7.507
ATOMIC_POSITIONS crystal
Tl 0.679 0.679 0.358
W 0.326 0.326 0.651
Sr 0.995 0.995 0.991
```

Output
The formation energy is 0.893 eV per atom. The crystal system is tetragonal. For the energy above the lowest structure with this stoichiometry, the calculation gives 0.00 eV/f.u. The space group is I4mm.


VASP energy
In order: -58.1809 -11.2340 -45.3381 -35.6149 -22.4253 -8.3135 -21.3687 -15.9413 -30.0256 -15.6547 -45.2921 -9.6606 -53.8807
Unit: eV/atom